First-principles (PBE) data for a relaxed structure of Li5AlPd4, as listed in Alexandria via LeMat-Bulk.

a = 6.694 Å, b = 6.694 Å, c = 5.326 Å
α = 104.89°, β = 104.89°, γ = 37.09°
Positions (direct):
Li (0.000, 0.000, 0.000)
Li (0.205, 0.205, 0.303)
Li (0.395, 0.395, 0.099)
Li (0.605, 0.605, 0.901)
Li (0.795, 0.795, 0.697)
Al (0.000, 0.000, 0.500)
Pd (0.198, 0.198, 0.793)
Pd (0.404, 0.404, 0.599)
Pd (0.596, 0.596, 0.401)
Pd (0.802, 0.802, 0.207)

## Properties
energy = -39.3 eV for the cell shown
size of the total moment = 0.000 μB per atom
energy relative to the elements = -520 meV per atom

***

First-principles (PBE) data for a relaxed structure of Li3Al2Pd2, as listed in Alexandria via LeMat-Bulk.

a = 4.304 Å, b = 4.304 Å, c = 6.788 Å
α = 108.72°, β = 108.72°, γ = 60.08°
Positions (direct):
Li (0.000, 0.000, 0.000)
Li (0.143, 0.143, 0.429)
Li (0.857, 0.857, 0.571)
Al (0.419, 0.419, 0.256)
Al (0.581, 0.581, 0.744)
Pd (0.283, 0.283, 0.848)
Pd (0.717, 0.717, 0.152)

## Properties
energy = -27.7 eV for the cell shown
size of the total moment = 0.000 μB per atom
energy relative to the elements = -585 meV per atom

***

First-principles (PBE) data for a relaxed structure of Li3Al2Pd, as listed in Alexandria via LeMat-Bulk.

a = 4.439 Å, b = 4.439 Å, c = 9.476 Å
α = 103.25°, β = 103.25°, γ = 90.89°
Positions (direct):
Li (0.047, 0.298, 0.594)
Li (0.124, 0.876, 0.750)
Li (0.298, 0.047, 0.094)
Li (0.702, 0.953, 0.906)
Li (0.876, 0.124, 0.250)
Li (0.953, 0.702, 0.406)
Al (0.208, 0.458, 0.915)
Al (0.458, 0.208, 0.415)
Al (0.542, 0.792, 0.585)
Al (0.792, 0.542, 0.085)
Pd (0.375, 0.625, 0.250)
Pd (0.625, 0.375, 0.750)

## Properties
energy = -41.5 eV for the cell shown
size of the total moment = 0.000 μB per atom
energy relative to the elements = -385 meV per atom

***

First-principles (PBE) data for a relaxed structure of Li4AlPd5, as listed in Alexandria via LeMat-Bulk.

a = 6.369 Å, b = 6.369 Å, c = 6.369 Å
α = 98.00°, β = 98.00°, γ = 136.19°
Positions (direct):
Li (0.000, 0.303, 0.303)
Li (0.000, 0.697, 0.697)
Li (0.303, 0.000, 0.303)
Li (0.697, 0.000, 0.697)
Al (0.678, 0.678, 0.000)
Pd (0.161, 0.161, 0.000)
Pd (0.317, 0.317, 0.616)
Pd (0.317, 0.701, 0.000)
Pd (0.701, 0.317, 0.000)
Pd (0.701, 0.701, 0.384)

## Properties
energy = -41.0 eV for the cell shown
size of the total moment = 0.000 μB per atom
energy relative to the elements = -364 meV per atom

***

First-principles (PBE) data for a relaxed structure of LiAl4Pd5, as listed in Alexandria via LeMat-Bulk.

a = 3.093 Å, b = 3.093 Å, c = 14.958 Å
α = 90.00°, β = 90.00°, γ = 90.00°
Positions (direct):
Li (0.000, 0.000, 0.000)
Al (0.000, 0.000, 0.195)
Al (0.000, 0.000, 0.399)
Al (0.000, 0.000, 0.601)
Al (0.000, 0.000, 0.805)
Pd (0.500, 0.500, 0.100)
Pd (0.500, 0.500, 0.298)
Pd (0.500, 0.500, 0.500)
Pd (0.500, 0.500, 0.702)
Pd (0.500, 0.500, 0.900)

## Properties
energy = -51.1 eV for the cell shown
size of the total moment = 0.000 μB per atom
energy relative to the elements = -822 meV per atom

***

First-principles (PBE) data for a relaxed structure of Li3AlPd4, as listed in Alexandria via LeMat-Bulk.

a = 6.706 Å, b = 6.706 Å, c = 4.241 Å
α = 108.34°, β = 108.34°, γ = 36.87°
Positions (direct):
Li (0.000, 0.000, 0.000)
Li (0.248, 0.248, 0.247)
Li (0.752, 0.752, 0.753)
Al (0.500, 0.500, 0.500)
Pd (0.124, 0.124, 0.624)
Pd (0.376, 0.376, 0.876)
Pd (0.624, 0.624, 0.124)
Pd (0.876, 0.876, 0.376)

## Properties
energy = -35.5 eV for the cell shown
size of the total moment = 0.000 μB per atom
energy relative to the elements = -650 meV per atom

***

First-principles (PBE) data for a relaxed structure of LiAlPd6, as listed in Alexandria via LeMat-Bulk.

a = 4.624 Å, b = 4.624 Å, c = 7.162 Å
α = 107.85°, β = 107.85°, γ = 70.07°
Positions (direct):
Li (0.000, 0.000, 0.000)
Al (0.500, 0.500, 0.500)
Pd (0.049, 0.561, 0.200)
Pd (0.151, 0.151, 0.438)
Pd (0.439, 0.951, 0.800)
Pd (0.561, 0.049, 0.200)
Pd (0.849, 0.849, 0.562)
Pd (0.951, 0.439, 0.800)

## Properties
energy = -38.3 eV for the cell shown
size of the total moment = 0.000 μB per atom
energy relative to the elements = -183 meV per atom

***

First-principles (PBE) data for a relaxed structure of Li2Al2Pd5, as listed in Alexandria via LeMat-Bulk.

a = 8.159 Å, b = 8.159 Å, c = 8.159 Å
α = 69.86°, β = 124.71°, γ = 140.79°
Positions (direct):
Li (0.000, 0.000, 0.000)
Li (0.000, 0.500, 0.500)
Li (0.043, 0.848, 0.695)
Li (0.153, 0.348, 0.305)
Al (0.411, 0.548, 0.050)
Al (0.411, 0.861, 0.362)
Al (0.498, 0.048, 0.638)
Al (0.498, 0.361, 0.950)
Pd (0.002, 0.188, 0.684)
Pd (0.002, 0.818, 0.313)
Pd (0.008, 0.489, 0.820)
Pd (0.008, 0.688, 0.020)
Pd (0.453, 0.319, 0.634)
Pd (0.504, 0.318, 0.316)
Pd (0.504, 0.688, 0.687)
Pd (0.668, 0.188, 0.180)
Pd (0.668, 0.989, 0.980)
Pd (0.685, 0.819, 0.366)

## Properties
energy = -82.8 eV for the cell shown
size of the total moment = 0.000 μB per atom
energy relative to the elements = -459 meV per atom

***

First-principles (PBE) data for a relaxed structure of Li4AlPd, as listed in Alexandria via LeMat-Bulk.

a = 8.166 Å, b = 8.166 Å, c = 4.498 Å
α = 90.16°, β = 90.16°, γ = 143.31°
Positions (direct):
Li (0.039, 0.455, 0.250)
Li (0.199, 0.282, 0.245)
Li (0.282, 0.199, 0.745)
Li (0.455, 0.039, 0.750)
Li (0.545, 0.961, 0.250)
Li (0.718, 0.801, 0.255)
Li (0.801, 0.718, 0.755)
Li (0.961, 0.545, 0.750)
Al (0.376, 0.624, 0.750)
Al (0.624, 0.376, 0.250)
Pd (0.125, 0.875, 0.250)
Pd (0.875, 0.125, 0.750)

## Properties
energy = -36.9 eV for the cell shown
size of the total moment = 0.000 μB per atom
energy relative to the elements = -313 meV per atom

***

First-principles (PBE) data for a relaxed structure of LiAl5Pd6, as listed in Alexandria via LeMat-Bulk.

a = 7.483 Å, b = 7.483 Å, c = 7.483 Å
α = 146.55°, β = 131.14°, γ = 60.51°
Positions (direct):
Li (0.000, 0.000, 0.000)
Al (0.163, 0.663, 0.500)
Al (0.333, 0.333, 0.000)
Al (0.500, 0.000, 0.500)
Al (0.667, 0.667, 0.000)
Al (0.837, 0.337, 0.500)
Pd (0.084, 0.831, 0.253)
Pd (0.256, 0.500, 0.756)
Pd (0.422, 0.169, 0.253)
Pd (0.578, 0.831, 0.747)
Pd (0.744, 0.500, 0.244)
Pd (0.916, 0.169, 0.747)

## Properties
energy = -62.1 eV for the cell shown
size of the total moment = 0.000 μB per atom
energy relative to the elements = -861 meV per atom

***

First-principles (PBE) data for a relaxed structure of Li2AlPd, as listed in Alexandria via LeMat-Bulk.

a = 3.661 Å, b = 3.661 Å, c = 4.392 Å
α = 90.00°, β = 90.00°, γ = 90.00°
Positions (direct):
Li (0.000, 0.500, 0.000)
Li (0.500, 0.000, 0.000)
Al (0.000, 0.000, 0.500)
Pd (0.500, 0.500, 0.500)

## Properties
energy = -14.6 eV for the cell shown
size of the total moment = 0.000 μB per atom
energy relative to the elements = -459 meV per atom

***

First-principles (PBE) data for a relaxed structure of Li3AlPd3, as listed in Alexandria via LeMat-Bulk.

a = 6.072 Å, b = 6.072 Å, c = 5.853 Å
α = 90.00°, β = 90.00°, γ = 94.25°
Positions (direct):
Li (0.216, 0.216, 0.500)
Li (0.231, 0.231, 0.000)
Li (0.244, 0.756, 0.000)
Li (0.756, 0.244, 0.000)
Li (0.769, 0.769, 0.000)
Li (0.784, 0.784, 0.500)
Al (0.279, 0.721, 0.500)
Al (0.721, 0.279, 0.500)
Pd (0.000, 0.500, 0.253)
Pd (0.000, 0.500, 0.747)
Pd (0.500, 0.000, 0.253)
Pd (0.500, 0.000, 0.747)
Pd (0.500, 0.500, 0.239)
Pd (0.500, 0.500, 0.761)

## Properties
energy = -57.9 eV for the cell shown
size of the total moment = 0.000 μB per atom
energy relative to the elements = -554 meV per atom